1.
A plane-wave DFT calculation with PBE-GGA was carried out for an optimized crystal structure of NpU.

Computed properties:
* calculated total energy: -11.957 eV per atom
* space-group type: P2_1/m
* formation energy from the elements: 0.16 eV/atom

```
NpU
1.0
-2.472 0.366 1.831
-2.553 -2.083 -3.030
2.320 -5.276 1.673
Np U
2 2
direct
0.375 0.250 0.046
0.625 0.750 0.954
0.095 0.750 0.375
0.905 0.250 0.625
```

***

2.
A plane-wave DFT calculation with PBE-GGA was carried out for an optimized crystal structure of NpU5.

Computed properties:
* calculated total energy: -11.274 eV per atom
* space-group type: Cmmm
* formation energy from the elements: 0.29 eV/atom

```
NpU5
1.0
3.472 0.000 0.000
0.000 4.928 0.000
0.000 -2.464 6.932
Np U
1 5
direct
0.000 0.000 0.000
0.000 0.327 0.655
0.500 0.500 0.000
0.000 0.673 0.345
0.500 0.150 0.299
0.500 0.850 0.701
```